Entry 1:
VASP calculation (PBE) on a relaxed PrNdDy2Y crystal.

Cell: 8.441 11.678 7.201 Å, 90.00 90.00 90.00°
Space group Cmcm (No. 63)
Symmetry-distinct sites (fractional):
Pr  0.000  0.225  0.250 (multiplicity 4)
Nd  0.000  0.491  0.250 (multiplicity 4)
Dy  0.187  0.000  0.000 (multiplicity 8)
Y  0.000  0.227  0.750 (multiplicity 4)

Results
Final energy, eV/cell: -93.423
Theoretical density, Mg/m³: 6.5
ΔE_f, eV/atom: 0.37



Entry 2:
VASP calculation (PBE) on a relaxed PuCdBi2O6 crystal.

Cell: 6.0122 6.0122 15.3511 Å, 90.00 90.00 120.00°
Space group R3 (No. 146, hexagonal axes)
Symmetry-distinct sites (fractional):
Pu  0.0000  0.0000  0.0000 (multiplicity 3)
Cd  0.0000  0.0000  0.5106 (multiplicity 3)
Bi  0.0000  0.0000  0.2950 (multiplicity 3)
Bi  0.0000  0.0000  0.7886 (multiplicity 3)
O  0.0575  0.3603  0.0634 (multiplicity 9)
O  0.0698  0.6887  0.5680 (multiplicity 9)

Results
Final energy, eV/cell: -208.598
ΔE_f (raw), eV per atom: -1.68
Theoretical density, Mg/m³: 9.0



Entry 3:
VASP calculation (PBE) on a relaxed FePOs2 crystal.

Cell: 2.822 3.770 5.140 Å, 90.00 103.58 90.00°
Space group P2/m (No. 10)
Symmetry-distinct sites (fractional):
Fe  0.000  0.000  0.000 (multiplicity 1)
P  0.000  0.000  0.500 (multiplicity 1)
Os  0.359  0.500  0.739 (multiplicity 2)

Results
Final energy, eV/cell: -35.861
Theoretical density, Mg/m³: 14.6
ΔE_f, eV/atom: 0.12



- Number 2 is which compound?
  PuCdBi2O6